Computed, not measured: crystalline K3ZrAs at its relaxed geometry at the GGA-PBE level of DFT.

abc: 6.3604 6.3604 6.3604
angles: 90.00 90.00 90.00
Each line ends with the local moment (μB).
Fractional coordinates of all 5 atoms:
K  0.5000  0.0000  0.0000  0.00
K  0.0000  0.5000  0.0000  0.00
K  0.0000  0.0000  0.5000  0.00
Zr  0.5000  0.5000  0.5000  1.55
As  0.0000  0.0000  0.0000  -0.22

Summary:
* E above lowest polymorph: 0.000 eV/f.u.
* ΔE_f: 0.80 eV/atom
* SG: No. 221
* size of the total moment: 2.00 μB per formula unit

=====

Computed, not measured: crystalline Cu2TcPt at its relaxed geometry at the GGA-PBE level of DFT.

abc: 4.2878 4.2878 4.2878
angles: 60.00 60.00 60.00
Each line ends with the local moment (μB).
Fractional coordinates of all 4 atoms:
Pt  0.5000  0.5000  0.5000  0.08
Cu  0.0000  0.0000  0.0000  0.02
Cu  0.7500  0.7500  0.7500  0.02
Tc  0.2500  0.2500  0.2500  0.82

Summary:
* E above lowest polymorph: 0.833 eV/f.u.
* ΔE_f: 0.19 eV/atom
* SG: No. 216
* size of the total moment: 0.98 μB per formula unit

=====

Computed, not measured: crystalline KFe2Se3 at its relaxed geometry at the GGA-PBE level of DFT.

abc: 7.3854 7.3854 5.3569
angles: 90.00 90.00 103.77
Each line ends with the local moment (μB).
Fractional coordinates of all 12 atoms:
Fe  0.8564  0.8564  0.0000  0.29
Fe  0.1436  0.1436  0.5000  0.29
Se  0.8836  0.1164  0.7500  -0.01
Se  0.3954  0.1760  0.7500  0.04
Fe  0.8564  0.8564  0.5000  0.29
Se  0.1164  0.8836  0.2500  -0.01
Se  0.8240  0.6046  0.7500  0.04
Fe  0.1436  0.1436  0.0000  0.29
Se  0.1760  0.3954  0.2500  0.04
K  0.6706  0.3294  0.2500  0.00
K  0.3294  0.6706  0.7500  0.00
Se  0.6046  0.8240  0.2500  0.04

Summary:
* energy relative to the elements, uncorrected: -508 meV/atom
* SG: No. 63
* size of the total moment: 0.74 μB per formula unit

=====

Computed, not measured: crystalline Ba2ErPbO5 at its relaxed geometry at the GGA-PBE level of DFT.

abc: 3.6137 8.0726 11.4222
angles: 90.00 90.00 102.93
Fractional coordinates of all 18 atoms:
Ba  0.8747  0.7493  0.2172
O  0.0784  0.1567  0.0387
O  0.6339  0.2678  0.5069
O  0.2912  0.5823  0.3766
Er  0.2248  0.4496  0.0040
O  0.5009  0.0018  0.7884
Pb  0.4903  0.9806  0.4798
O  0.7088  0.4177  0.8766
O  0.4991  0.9982  0.2884
Ba  0.1346  0.2693  0.2787
O  0.2801  0.5602  0.6337
O  0.9216  0.8433  0.5387
Ba  0.8654  0.7307  0.7787
Er  0.7752  0.5504  0.5040
Pb  0.5097  0.0194  0.9798
O  0.7199  0.4398  0.1337
O  0.3661  0.7322  0.0069
Ba  0.1253  0.2507  0.7172

Summary:
* energy relative to the elements, uncorrected: -2352 meV/atom
* SG: No. 36
* size of the total moment: 0.00 μB per formula unit